# VOF | the Alexandria database | PBE with a Hubbard U | optimized geometry
data_VOF
_chemical_formula_sum 'V4 O4 F4'
_cell_length_a 6.438
_cell_length_b 7.024
_cell_length_c 3.085
_cell_angle_alpha 90.00
_cell_angle_beta 90.00
_cell_angle_gamma 90.00
_symmetry_space_group_name_H-M 'C m m m'
_symmetry_Int_Tables_number 65
_symmetry_space_group_name_Hall '-C 2 2'
loop_
_atom_site_label
_atom_site_type_symbol
_atom_site_fract_x
_atom_site_fract_y
_atom_site_fract_z
V1 V 0.000 0.000 0.000
V2 V 0.000 0.500 0.500
O1 O 0.200 0.000 0.500
F1 F 0.000 0.304 0.000
# * magnetic moment: 8.00 Bohr magnetons per cell
# * electronic total energy: -85.70 eV/cell
# * crystal system: orthorhombic